(1)
Computed, not measured: an optimized crystal structure of Sr3Ca12Zn at the PBE level of DFT.

Cell and atoms, written as POSCAR:
```
Sr3Ca12Zn
1.0
5.635 0.000 0.000
0.000 5.635 0.000
0.000 0.000 21.006
Sr Ca Zn
3 12 1
Direct
0.000 0.000 0.232
0.000 0.000 0.500
0.000 0.000 0.768
0.500 0.500 0.000
0.500 0.500 0.228
0.500 0.500 0.500
0.500 0.500 0.772
0.500 0.000 0.097
0.500 0.000 0.365
0.500 0.000 0.635
0.500 0.000 0.903
0.000 0.500 0.097
0.000 0.500 0.365
0.000 0.500 0.635
0.000 0.500 0.903
0.000 0.000 0.000
```

Computed properties:
Crystal system: tetragonal
SG: P4/mmm, No. 123
E_form (kJ/mol of atoms): 2.00
VASP energy (eV/cell): -30.0
D(E_F) (states/eV/f.u.): 21.706

(2)
Computed, not measured: an optimized crystal structure of SrCaZn2 at the PBE level of DFT.

Cell and atoms, written as POSCAR:
```
SrCaZn2
1.0
-4.798 1.538 -6.226
-7.293 -0.581 -3.259
-6.505 3.742 -2.798
Sr Zn Ca
1 2 1
Direct
0.750 0.750 0.750
0.993 0.993 0.993
0.507 0.507 0.507
0.250 0.250 0.250
```

Computed properties:
Crystal system: trigonal
SG: R-3m, No. 166
E_form (kJ/mol of atoms): -4.73
VASP energy (eV/cell): -6.4
D(E_F) (states/eV/f.u.): 2.618

(3)
Computed, not measured: an optimized crystal structure of Sr2CaZn at the PBE level of DFT.

Cell and atoms, written as POSCAR:
```
Sr2CaZn
1.0
5.547 0.000 0.000
0.000 5.547 0.000
-2.774 -2.774 10.072
Sr Ca Zn
4 2 2
Direct
0.000 0.500 0.000
0.500 0.000 0.000
0.342 0.342 0.684
0.658 0.658 0.316
0.162 0.162 0.323
0.838 0.838 0.677
0.250 0.750 0.500
0.750 0.250 0.500
```

Computed properties:
Crystal system: tetragonal
SG: I4/mmm, No. 139
E_form (kJ/mol of atoms): -8.93
VASP energy (eV/cell): -14.0
D(E_F) (states/eV/f.u.): 3.637